A plane-wave DFT calculation with PBE-GGA was carried out for crystalline NdHfIrRh at its relaxed geometry.

POSCAR file:
```
NdHfIrRh
1.0
4.815 0.000 0.000
2.407 4.170 0.000
2.407 1.390 3.931
Nd Ir Hf Rh
1 1 1 1
direct
0.750 0.750 0.750
0.000 0.000 0.000
0.250 0.250 0.250
0.500 0.500 0.500
```

Computed properties:
Calculated formation energy = -0.639 eV/atom
Magnetization = 0.00 Bohr magnetons per cell
Theoretical density = 13.0 Mg/m³
Symmetry = F-43m (216)


A plane-wave DFT calculation with PBE-GGA was carried out for crystalline Nd2HfSi3Ir4 at its relaxed geometry.

POSCAR file:
```
Nd2HfSi3Ir4
1.0
4.149 0.000 0.000
0.000 4.149 0.000
0.000 0.000 10.686
Nd Hf Si Ir
2 1 3 4
direct
0.500 0.000 0.236
0.000 0.500 0.764
0.500 0.500 0.500
0.000 0.000 0.500
0.500 0.000 0.878
0.000 0.500 0.122
0.500 0.500 0.000
0.000 0.000 0.000
0.500 0.000 0.649
0.000 0.500 0.351
```

Computed properties:
Formation energy (no corrections) = -1.003 eV/atom
Magnetization = 0.00 Bohr magnetons per cell
Theoretical density = 11.9 Mg/m³
Symmetry = P-4m2 (115)


A plane-wave DFT calculation with PBE-GGA was carried out for crystalline Hf3NiIr at its relaxed geometry.

POSCAR file:
```
Hf3NiIr
1.0
4.682 0.000 0.000
0.000 4.682 0.000
0.000 0.000 4.682
Ni Ir Hf
1 1 3
direct
0.000 0.000 0.000
0.500 0.500 0.500
0.000 0.500 0.000
0.000 0.000 0.500
0.500 0.000 0.000
```

Computed properties:
Energy above the most stable polymorph in this dataset = 0.000 eV per formula unit
Calculated formation energy = 0.277 eV/atom
Magnetization = 0.00 Bohr magnetons per cell
Theoretical density = 12.7 Mg/m³
Symmetry = Pm-3m (221)


A plane-wave DFT calculation with PBE-GGA was carried out for crystalline Hf5NiIr2 at its relaxed geometry.

POSCAR file:
```
Hf5NiIr2
1.0
-1.351 -1.447 3.840
2.704 -5.876 -1.262
9.187 3.268 4.464
Hf Ni Ir
10 2 4
direct
0.000 0.000 0.500
0.000 0.500 0.000
0.000 0.845 0.213
0.000 0.155 0.787
0.000 0.655 0.713
0.000 0.345 0.287
0.500 0.676 0.411
0.500 0.324 0.589
0.500 0.824 0.911
0.500 0.176 0.089
0.000 0.500 0.500
0.000 0.000 0.000
0.500 0.568 0.158
0.500 0.432 0.842
0.500 0.932 0.658
0.500 0.068 0.342
```

Computed properties:
Calculated formation energy = -0.539 eV/atom
Magnetization = 0.00 Bohr magnetons per cell
Theoretical density = 14.5 Mg/m³
Symmetry = Pbam (55)


A plane-wave DFT calculation with PBE-GGA was carried out for crystalline Hf3Ni3Ir2 at its relaxed geometry.

POSCAR file:
```
Hf3Ni3Ir2
1.0
-0.505 2.374 -2.478
-6.254 -1.955 -0.599
1.563 4.771 4.253
Hf Ni Ir
3 3 2
direct
0.500 0.360 0.360
0.500 0.640 0.000
0.500 0.000 0.640
0.000 0.781 0.781
0.000 0.219 0.000
0.000 0.000 0.219
0.000 0.333 0.667
0.000 0.667 0.333
```

Computed properties:
Calculated formation energy = -0.566 eV/atom
Magnetization = 0.00 Bohr magnetons per cell
Theoretical density = 14.0 Mg/m³
Symmetry = P-62m (189)


A plane-wave DFT calculation with PBE-GGA was carried out for crystalline Hf2Ni9Ir at its relaxed geometry.

POSCAR file:
```
Hf2Ni9Ir
1.0
3.700 0.000 0.000
0.000 3.700 0.000
0.000 0.000 11.067
Hf Ni Ir
2 9 1
direct
0.000 0.000 0.330
0.000 0.000 0.670
0.500 0.500 0.000
0.500 0.500 0.331
0.500 0.500 0.669
0.500 0.000 0.161
0.500 0.000 0.500
0.500 0.000 0.839
0.000 0.500 0.161
0.000 0.500 0.500
0.000 0.500 0.839
0.000 0.000 0.000
```

Computed properties:
Calculated formation energy = -0.289 eV/atom
Magnetization = 2.17 Bohr magnetons per cell
Theoretical density = 11.8 Mg/m³
Symmetry = P4/mmm (123)